No. 1
# SmSc2Cd PBE relaxed
# ΔE to the lowest computed polymorph: 0.004 eV per atom
data_SmSc2Cd
_symmetry_space_group_name_H-M 'P 1'
_symmetry_Int_Tables_number 1
_cell_length_a 3.604
_cell_length_b 5.301
_cell_length_c 6.325
_cell_angle_alpha 114.67
_cell_angle_beta 106.55
_cell_angle_gamma 90.00
loop_
_symmetry_equiv_pos_as_xyz
'x,y,z'
loop_
_atom_site_label
_atom_site_type_symbol
_atom_site_fract_x
_atom_site_fract_y
_atom_site_fract_z
_atom_site_occupancy
Sm1 Sm 0.000 0.500 0.000 1
Sc1 Sc 0.774 0.774 0.548 1
Sc2 Sc 0.226 0.226 0.452 1
Cd1 Cd 0.500 0.000 0.000 1

=====

No. 2
# SmScCd4 PBE relaxed
# ΔE to the lowest computed polymorph: 0.063 eV per atom
data_SmScCd4
_symmetry_space_group_name_H-M 'P 1'
_symmetry_Int_Tables_number 1
_cell_length_a 5.859
_cell_length_b 5.859
_cell_length_c 5.859
_cell_angle_alpha 60.00
_cell_angle_beta 60.00
_cell_angle_gamma 60.00
loop_
_symmetry_equiv_pos_as_xyz
'x,y,z'
loop_
_atom_site_label
_atom_site_type_symbol
_atom_site_fract_x
_atom_site_fract_y
_atom_site_fract_z
_atom_site_occupancy
Sc1 Sc 0.000 0.000 0.000 1
Sm1 Sm 0.250 0.250 0.250 1
Cd1 Cd 0.625 0.625 0.125 1
Cd2 Cd 0.625 0.125 0.625 1
Cd3 Cd 0.625 0.625 0.625 1
Cd4 Cd 0.125 0.625 0.625 1

=====

No. 3
Computed, not measured: a relaxed Sm2ScCd8 crystal at the PBE level of DFT.

Geometry as CIF:
```
data_Sm2ScCd8
_symmetry_space_group_name_H-M 'P 1'
_symmetry_Int_Tables_number 1
_cell_length_a 4.964
_cell_length_b 7.007
_cell_length_c 8.259
_cell_angle_alpha 106.36
_cell_angle_beta 107.49
_cell_angle_gamma 90.00
loop_
_symmetry_equiv_pos_as_xyz
'x,y,z'
loop_
_atom_site_label
_atom_site_type_symbol
_atom_site_fract_x
_atom_site_fract_y
_atom_site_fract_z
_atom_site_occupancy
Sm1 Sm 0.216 0.654 0.433 1
Sm2 Sm 0.784 0.346 0.567 1
Sc1 Sc 0.500 0.000 0.000 1
Cd1 Cd 0.665 0.886 0.330 1
Cd2 Cd 0.411 0.555 0.822 1
Cd3 Cd 0.145 0.131 0.289 1
Cd4 Cd 0.985 0.278 0.970 1
Cd5 Cd 0.855 0.869 0.711 1
Cd6 Cd 0.589 0.445 0.178 1
Cd7 Cd 0.335 0.114 0.670 1
Cd8 Cd 0.015 0.722 0.030 1
```

=====

No. 4
# Sm2ScCd3 PBE relaxed
# ΔE to the lowest computed polymorph: 0.005 eV per atom
data_Sm2ScCd3
_symmetry_space_group_name_H-M 'P 1'
_symmetry_Int_Tables_number 1
_cell_length_a 5.263
_cell_length_b 5.263
_cell_length_c 12.980
_cell_angle_alpha 90.00
_cell_angle_beta 90.00
_cell_angle_gamma 120.00
loop_
_symmetry_equiv_pos_as_xyz
'x,y,z'
loop_
_atom_site_label
_atom_site_type_symbol
_atom_site_fract_x
_atom_site_fract_y
_atom_site_fract_z
_atom_site_occupancy
Sm1 Sm 0.000 0.000 0.500 1
Sm2 Sm 0.333 0.667 0.174 1
Sm3 Sm 0.667 0.333 0.826 1
Sm4 Sm 0.000 0.000 0.000 1
Sc1 Sc 0.333 0.667 0.667 1
Sc2 Sc 0.667 0.333 0.333 1
Cd1 Cd 0.333 0.667 0.420 1
Cd2 Cd 0.667 0.333 0.089 1
Cd3 Cd 0.000 0.000 0.743 1
Cd4 Cd 0.000 0.000 0.257 1
Cd5 Cd 0.333 0.667 0.911 1
Cd6 Cd 0.667 0.333 0.580 1

=====

No. 5
# SmScCd4 PBE relaxed
# ΔE to the lowest computed polymorph: 0.000 eV per atom
data_SmScCd4
_symmetry_space_group_name_H-M 'P 1'
_symmetry_Int_Tables_number 1
_cell_length_a 3.300
_cell_length_b 4.970
_cell_length_c 9.255
_cell_angle_alpha 90.01
_cell_angle_beta 110.79
_cell_angle_gamma 90.00
loop_
_symmetry_equiv_pos_as_xyz
'x,y,z'
loop_
_atom_site_label
_atom_site_type_symbol
_atom_site_fract_x
_atom_site_fract_y
_atom_site_fract_z
_atom_site_occupancy
Sm1 Sm 0.501 0.497 0.998 1
Sc1 Sc 0.001 0.997 0.498 1
Cd1 Cd 0.175 0.997 0.173 1
Cd2 Cd 0.827 0.997 0.823 1
Cd3 Cd 0.664 0.497 0.658 1
Cd4 Cd 0.339 0.497 0.338 1

=====

No. 6
Computed, not measured: a relaxed SmSc6Cd crystal at the PBE level of DFT.

Geometry as CIF:
```
data_SmSc6Cd
_symmetry_space_group_name_H-M 'P 1'
_symmetry_Int_Tables_number 1
_cell_length_a 4.622
_cell_length_b 4.622
_cell_length_c 9.301
_cell_angle_alpha 90.00
_cell_angle_beta 90.00
_cell_angle_gamma 90.00
loop_
_symmetry_equiv_pos_as_xyz
'x,y,z'
loop_
_atom_site_label
_atom_site_type_symbol
_atom_site_fract_x
_atom_site_fract_y
_atom_site_fract_z
_atom_site_occupancy
Sm1 Sm 0.000 0.000 0.000 1
Sc1 Sc 0.500 0.500 0.000 1
Sc2 Sc 0.500 0.500 0.500 1
Sc3 Sc 0.500 0.000 0.259 1
Sc4 Sc 0.500 0.000 0.741 1
Sc5 Sc 0.000 0.500 0.259 1
Sc6 Sc 0.000 0.500 0.741 1
Cd1 Cd 0.000 0.000 0.500 1
```

=====

No. 7
Computed, not measured: a relaxed SmScCd14 crystal at the PBE level of DFT.

Geometry as CIF:
```
data_SmScCd14
_symmetry_space_group_name_H-M 'P 1'
_symmetry_Int_Tables_number 1
_cell_length_a 6.569
_cell_length_b 6.569
_cell_length_c 8.460
_cell_angle_alpha 90.00
_cell_angle_beta 90.00
_cell_angle_gamma 90.00
loop_
_symmetry_equiv_pos_as_xyz
'x,y,z'
loop_
_atom_site_label
_atom_site_type_symbol
_atom_site_fract_x
_atom_site_fract_y
_atom_site_fract_z
_atom_site_occupancy
Sm1 Sm 0.875 0.875 0.500 1
Sc1 Sc 0.375 0.375 0.500 1
Cd1 Cd 0.875 0.875 0.000 1
Cd2 Cd 0.375 0.375 0.000 1
Cd3 Cd 0.875 0.375 0.500 1
Cd4 Cd 0.875 0.375 0.000 1
Cd5 Cd 0.375 0.875 0.500 1
Cd6 Cd 0.375 0.875 0.000 1
Cd7 Cd 0.619 0.131 0.245 1
Cd8 Cd 0.619 0.131 0.755 1
Cd9 Cd 0.131 0.619 0.245 1
Cd10 Cd 0.131 0.619 0.755 1
Cd11 Cd 0.619 0.619 0.245 1
Cd12 Cd 0.619 0.619 0.755 1
Cd13 Cd 0.131 0.131 0.245 1
Cd14 Cd 0.131 0.131 0.755 1
```

=====

No. 8
# Sm6ScCd PBE relaxed
# ΔE to the lowest computed polymorph: 0.433 eV per atom
data_Sm6ScCd
_symmetry_space_group_name_H-M 'P 1'
_symmetry_Int_Tables_number 1
_cell_length_a 6.496
_cell_length_b 6.501
_cell_length_c 8.928
_cell_angle_alpha 68.53
_cell_angle_beta 68.69
_cell_angle_gamma 59.96
loop_
_symmetry_equiv_pos_as_xyz
'x,y,z'
loop_
_atom_site_label
_atom_site_type_symbol
_atom_site_fract_x
_atom_site_fract_y
_atom_site_fract_z
_atom_site_occupancy
Sm1 Sm 0.046 0.434 0.705 1
Sm2 Sm 0.815 0.043 0.706 1
Sm3 Sm 0.565 0.186 0.294 1
Sm4 Sm 0.185 0.957 0.294 1
Sm5 Sm 0.954 0.566 0.295 1
Sm6 Sm 0.435 0.814 0.706 1
Sc1 Sc 0.500 0.500 0.500 1
Cd1 Cd 0.000 0.000 0.000 1

=====

| no. | energy of formation from the pure elements (eV per atom) |
| --- | --- |
| 1 | -0.110 |
| 2 | -0.211 |
| 3 | -0.225 |
| 4 | -0.292 |
| 5 | -0.274 |
| 6 | -0.003 |
| 7 | -0.123 |
| 8 | 0.403 |